1.
A plane-wave DFT calculation with PBE-GGA was carried out for crystalline Ba2NbTcPb at its relaxed geometry.

## Properties
Energy relative to the elements   1358 meV per atom

a = 5.968 Å, b = 5.968 Å, c = 5.502 Å
α = 90.00°, β = 90.00°, γ = 90.00°
Space group P4/mmm (No. 123)
One atom of each set of equivalent atoms:
1 Ba 0.000 0.500 0.000
2 Nb 0.000 0.000 0.000
3 Tc 0.500 0.500 0.500
4 Pb 0.000 0.000 0.500

=====

2.
A plane-wave DFT calculation with PBE-GGA was carried out for crystalline PuGa6Br12 at its relaxed geometry.

## Properties
Formation energy from raw total energies   -0.70 eV per atom

a = 10.6692 Å, b = 10.6692 Å, c = 20.2556 Å
α = 90.00°, β = 90.00°, γ = 120.00°
Space group R-3 (No. 148, hexagonal axes)
One atom of each set of equivalent atoms:
1 Pu 0.0000 0.0000 0.0000
2 Ga 0.0224 0.1771 0.2862
3 Br 0.0496 0.2338 0.9163
4 Br 0.0714 0.2525 0.4093

=====

| no. | calculated volume (Å³ per cell) |
| --- | --- |
| 1 | 196 |
| 2 | 1997 |